*P*
VASP calculation (PBE-GGA) on TbPm2Pr after structural relaxation.

Cell lengths 3.5878, 5.6713, 6.9745 Å; angles 90.00, 104.90, 90.00 degrees
Fractional positions:
Tb (0.4477, 0.0000, 0.8954)
Pm (0.0610, 0.5000, 0.1220)
Pm (0.1862, 0.0000, 0.3724)
Pr (0.8051, 0.5000, 0.6102)

Computed properties:
* DOS(E_F): 5.73 states/eV/f.u.

*Q*
VASP calculation (PBE-GGA) on TbPm2Pr after structural relaxation.

Cell lengths 5.7965, 5.7965, 5.7965 Å; angles 60.00, 60.00, 60.00 degrees
Site moments in Bohr magnetons follow the coordinates.
Fractional positions:
Pr (0.5000, 0.5000, 0.5000)  0.12
Tb (0.0000, 0.0000, 0.0000)  0.11
Pm (0.2500, 0.2500, 0.2500)  0.11
Pm (0.7500, 0.7500, 0.7500)  0.11

Computed properties:
* DOS(E_F): 10.76 states/eV/f.u.

*R*
VASP calculation (PBE-GGA) on TbPm2Pr after structural relaxation.

Cell lengths 3.7424, 6.0372, 7.0352 Å; angles 115.41, 105.42, 90.00 degrees
Fractional positions:
Tb (0.4977, 0.4977, 0.9954)
Pm (0.0025, 0.0025, 0.0051)
Pm (0.7559, 0.2559, 0.5117)
Pr (0.2439, 0.7439, 0.4878)

Computed properties:
* DOS(E_F): 8.71 states/eV/f.u.

*S*
VASP calculation (PBE-GGA) on TbPm2Pr after structural relaxation.

Cell lengths 3.6537, 3.6537, 12.0468 Å; angles 81.28, 81.28, 60.00 degrees
Fractional positions:
Tb (0.6668, 0.6668, 0.9995)
Pm (0.0816, 0.0816, 0.7553)
Pm (0.2517, 0.2517, 0.2448)
Pr (0.4999, 0.4999, 0.5003)

Computed properties:
* DOS(E_F): 5.91 states/eV/f.u.

*S* (3.0 kJ/mol of atoms below the next structure)

*P*
VASP calculation (PBE-GGA) on TbPm2Pr after structural relaxation.

Cell lengths 3.6452, 3.6452, 10.3079 Å; angles 90.00, 90.00, 90.00 degrees
Fractional positions:
Pr (0.5000, 0.5000, 0.0000)
Tb (0.5000, 0.5000, 0.5000)
Pm (0.0000, 0.0000, 0.7450)
Pm (0.0000, 0.0000, 0.2550)

Computed properties:
* DOS(E_F): 5.39 states/eV/f.u.

*Q*
VASP calculation (PBE-GGA) on TbPm2Pr after structural relaxation.

Cell lengths 4.3018, 4.3018, 7.3999 Å; angles 90.00, 90.00, 90.00 degrees
Fractional positions:
Pr (0.5000, 0.5000, 0.5000)
Tb (0.5000, 0.5000, 0.0000)
Pm (0.0000, 0.0000, 0.7549)
Pm (0.0000, 0.0000, 0.2451)

Computed properties:
* DOS(E_F): 9.01 states/eV/f.u.

*P* (9.6 kJ/mol of atoms below the next structure)

*P*
VASP calculation (PBE-GGA) on Tb3PmPr5 after structural relaxation.

Cell lengths 8.1810, 8.1810, 11.8090 Å; angles 71.88, 71.88, 89.68 degrees
Fractional positions:
Tb (0.6192, 0.6192, 0.8445)
Tb (0.7935, 0.7935, 0.3479)
Tb (0.0000, 0.0000, 0.0000)
Tb (0.0000, 0.0000, 0.5000)
Tb (0.3808, 0.3808, 0.1555)
Tb (0.2065, 0.2065, 0.6521)
Pm (0.9092, 0.9092, 0.7952)
Pm (0.0908, 0.0908, 0.2048)
Pr (0.9747, 0.4402, 0.3527)
Pr (0.2569, 0.7431, 0.0000)
Pr (0.6933, 0.6933, 0.0952)
Pr (0.4725, 0.4725, 0.3810)
Pr (0.5275, 0.5275, 0.6190)
Pr (0.3067, 0.3067, 0.9048)
Pr (0.4402, 0.9747, 0.3527)
Pr (0.7431, 0.2569, 0.0000)
Pr (0.0253, 0.5598, 0.6473)
Pr (0.5598, 0.0253, 0.6473)

Computed properties:
* DOS(E_F): 14.49 states/eV/f.u.

*Q*
VASP calculation (PBE-GGA) on Tb3PmPr5 after structural relaxation.

Cell lengths 11.1408, 11.1408, 11.7093 Å; angles 56.06, 56.06, 33.01 degrees
Fractional positions:
Tb (0.0000, 0.0000, 0.0000)
Tb (0.0500, 0.5971, 0.3263)
Tb (0.0000, 0.0000, 0.5000)
Tb (0.9500, 0.4029, 0.6737)
Tb (0.5971, 0.0500, 0.8263)
Tb (0.4029, 0.9500, 0.1737)
Pm (0.8872, 0.1128, 0.7500)
Pm (0.1128, 0.8872, 0.2500)
Pr (0.4035, 0.5965, 0.7500)
Pr (0.9936, 0.3653, 0.9757)
Pr (0.5387, 0.1792, 0.1246)
Pr (0.0064, 0.6347, 0.0243)
Pr (0.8208, 0.4613, 0.3754)
Pr (0.5965, 0.4035, 0.2500)
Pr (0.3653, 0.9936, 0.4757)
Pr (0.6347, 0.0064, 0.5243)
Pr (0.1792, 0.5387, 0.6246)
Pr (0.4613, 0.8208, 0.8754)

Computed properties:
* DOS(E_F): 12.79 states/eV/f.u.

*Q* (25.6 kJ/mol of atoms below the next structure)

*P*
VASP calculation (PBE-GGA) on TbPmPr2 after structural relaxation.

Cell lengths 3.6717, 3.6717, 12.0897 Å; angles 81.27, 81.27, 60.00 degrees
Fractional positions:
Tb (0.6671, 0.6671, 0.9987)
Pm (0.4997, 0.4997, 0.5010)
Pr (0.0824, 0.0824, 0.7528)
Pr (0.2509, 0.2509, 0.2474)

Computed properties:
* DOS(E_F): 5.87 states/eV/f.u.

*Q*
VASP calculation (PBE-GGA) on TbPmPr2 after structural relaxation.

Cell lengths 4.2901, 4.2901, 7.5353 Å; angles 90.00, 90.00, 90.00 degrees
Fractional positions:
Pr (0.0000, 0.0000, 0.7554)
Pr (0.0000, 0.0000, 0.2446)
Tb (0.5000, 0.5000, 0.0000)
Pm (0.5000, 0.5000, 0.5000)

Computed properties:
* DOS(E_F): 8.51 states/eV/f.u.

*P* (8.5 kJ/mol of atoms below the next structure)